First-principles (PBE-GGA) data for an optimized crystal structure of Nb4SnSN2, as listed in OQMD.

Unit cell a=3.3039 b=3.3039 c=12.5230 alpha=90.00 beta=90.00 gamma=120.00
Fractional positions:
N 0.3333 0.6667 0.2344
N 0.3333 0.6667 0.7656
Nb 0.6667 0.3333 0.1410
Nb 0.0000 0.0000 0.3155
Nb 0.0000 0.0000 0.6845
Nb 0.6667 0.3333 0.8590
S 0.0000 0.0000 0.0000
Sn 0.6667 0.3333 0.5000

Calculated values
As for the space-group type: P-6m2, No. 187. Its size of the total moment is 0.0 μB/cell. The value obtained for the total DFT energy (no corrections) is -0.325 hartree per atom.